Compound: V4Mo2Pt
Source: Alexandria
Functional: PBE
Structure: relaxed

a b c (Å): 4.5972 4.5972 12.4252
angles (deg): 90.00 90.00 90.00
Atoms (fractional coordinates):
1 V 0.0000 0.0000 0.2017
2 V 0.0000 0.0000 0.7983
3 V 0.0000 0.5000 0.0000
4 V 0.0000 0.5000 0.5000
5 V 0.5000 0.0000 0.0000
6 V 0.5000 0.0000 0.5000
7 V 0.5000 0.5000 0.2983
8 V 0.5000 0.5000 0.7017
9 Mo 0.0000 0.0000 0.3824
10 Mo 0.0000 0.0000 0.6176
11 Mo 0.5000 0.5000 0.1176
12 Mo 0.5000 0.5000 0.8824
13 Pt 0.0000 0.0000 0.0000
14 Pt 0.5000 0.5000 0.5000

Computed properties:
For the total energy, the calculation gives -0.29437 Ha/atom. The calculation puts the formation energy at 782 kJ/mol of formula units. Its symmetry is No. 139.